Density functional theory data (PBE with a Hubbard U) for crystalline SrLa2Co3O9 at its relaxed geometry.

total moment = 11.81 μB per cell
excess energy over the best structure of this formula in the dataset = 14 meV/atom
VASP energy = -0.249 Ha/atom
mass density = 6.58 g cm⁻³
crystal system = triclinic

Unit cell a=5.471 b=8.597 c=8.661 alpha=66.68 beta=71.75 gamma=71.58
Fractional positions:
1 Sr 0.000 0.000 0.000
2 Sr 0.499 0.508 0.491
3 La 0.167 0.169 0.491
4 La 0.330 0.338 0.997
5 La 0.654 0.671 0.998
6 La 0.826 0.834 0.495
7 Co 0.080 0.588 0.244
8 Co 0.240 0.754 0.745
9 Co 0.415 0.919 0.246
10 Co 0.583 0.084 0.746
11 Co 0.747 0.254 0.246
12 Co 0.915 0.422 0.744
13 O 0.003 0.508 0.489
14 O 0.077 0.571 0.770
15 O 0.100 0.111 0.228
16 O 0.209 0.662 0.991
17 O 0.257 0.753 0.239
18 O 0.273 0.845 0.496
19 O 0.279 0.255 0.746
20 O 0.394 0.938 0.715
21 O 0.396 0.400 0.258
22 O 0.506 0.005 0.002
23 O 0.587 0.608 0.726
24 O 0.589 0.070 0.275
25 O 0.712 0.170 0.488
26 O 0.751 0.757 0.248
27 O 0.779 0.342 0.003
28 O 0.782 0.251 0.742
29 O 0.885 0.901 0.759
30 O 0.903 0.439 0.217